First-principles (PBE) data for TbPuTe2 after structural relaxation, as listed in Alexandria via LeMat-Bulk.

The calculation puts the energy above the most stable polymorph in this dataset at 0.058 eV per atom. The uncorrected formation energy is -1169.3 meV per atom. The crystal system is trigonal. The spin magnetization is 1.388 μB per atom.

It has space group R3m (No. 160, hexagonal axes), with a = 4.2406 Å, b = 4.2406 Å, c = 23.3736 Å, α = 90.00°, β = 90.00° and γ = 120.00°. The distinct sites, in fractional coordinates, are Tb at (0.0000, 0.0000, 0.0000), Pu at (0.0000, 0.0000, 0.1726), Te at (0.0000, 0.0000, 0.5862) and Te at (0.0000, 0.0000, 0.7523).